Here is MgCr3Te after structural relaxation from Alexandria. Energies are from PBE-GGA.

Output
- Polymorph energy (0 for the lowest one): 0.000 eV/atom
- SG: Pm-3m

```
MgCr3Te
1.0
5.136 0.000 0.000
0.000 5.136 0.000
0.000 0.000 5.136
Mg Cr Te
1 3 1
direct
0.500 0.500 0.500 Mg
0.000 0.000 0.500 Cr
0.000 0.500 0.000 Cr
0.500 0.000 0.000 Cr
0.000 0.000 0.000 Te
```

***

Here is Mg4CrTe after structural relaxation from Alexandria. Energies are from PBE-GGA.

Output
- SG: F-43m

```
Mg4CrTe
1.0
0.000 4.123 4.123
4.123 0.000 4.123
4.123 4.123 0.000
Cr Mg Te
1 4 1
direct
0.000 0.000 0.000 Cr
0.375 0.876 0.375 Mg
0.375 0.375 0.876 Mg
0.876 0.375 0.375 Mg
0.375 0.375 0.375 Mg
0.750 0.750 0.750 Te
```

***

Here is MgTlCrTe3 after structural relaxation from Alexandria. Energies are from PBE-GGA.

Output
- SG: P2_1/m

```
MgTlCrTe3
1.0
4.244 0.000 0.000
0.000 8.682 -0.136
0.000 -3.452 9.976
Mg Te Tl Cr
2 6 2 2
direct
0.250 0.083 0.619 Mg
0.750 0.917 0.381 Mg
0.750 0.885 0.115 Te
0.750 0.253 0.558 Te
0.250 0.115 0.885 Te
0.250 0.534 0.869 Te
0.250 0.747 0.442 Te
0.750 0.466 0.131 Te
0.250 0.227 0.247 Tl
0.750 0.773 0.753 Tl
0.250 0.677 0.141 Cr
0.750 0.323 0.859 Cr
```

***

Here is YMgCrTe2 after structural relaxation from Alexandria. Energies are from PBE-GGA.

Output
- SG: P4/mmm

```
YMgCrTe2
1.0
-2.817 -5.092 -0.056
4.164 -2.271 -2.926
2.651 -1.521 4.953
Te Y Mg Cr
2 1 1 1
direct
0.000 0.000 0.500 Te
0.500 0.000 0.000 Te
0.000 0.000 0.000 Y
0.500 0.500 0.500 Mg
0.000 0.500 0.000 Cr
```

***

Here is Mg2TiCr after structural relaxation from Alexandria. Energies are from PBE-GGA.

Output
- Polymorph energy (0 for the lowest one): 0.000 eV/atom
- SG: Fm-3m
- Energy of formation from the pure elements: 0.38 eV per atom

```
Mg2TiCr
1.0
-0.626 -3.929 -2.516
-0.254 -4.170 2.170
-4.102 -2.299 0.207
Cr Ti Mg
1 1 2
direct
0.500 0.500 0.500 Cr
0.000 0.000 0.000 Ti
0.250 0.250 0.250 Mg
0.750 0.750 0.750 Mg
```

***

Here is MgTi2Cr2 after structural relaxation from Alexandria. Energies are from PBE-GGA.

Output
- Polymorph energy (0 for the lowest one): 0.000 eV/atom
- SG: P4/mbm
- Energy of formation from the pure elements: 0.20 eV per atom

```
MgTi2Cr2
1.0
-7.138 -0.196 -0.901
-0.372 -5.823 4.214
-0.357 1.789 2.441
Cr Ti Mg
4 4 2
direct
0.401 0.901 0.000 Cr
0.901 0.599 0.000 Cr
0.099 0.401 0.000 Cr
0.599 0.099 0.000 Cr
0.806 0.306 0.500 Ti
0.694 0.806 0.500 Ti
0.306 0.194 0.500 Ti
0.194 0.694 0.500 Ti
0.500 0.500 0.000 Mg
0.000 0.000 0.000 Mg
```

***

Computed uncorrected energy, in the same sequence as the records: -5.644; -2.895; -4.239; -4.389; -4.794; -7.122 eV/atom.